Computed, not measured: AcMgAg after structural relaxation at the PBE-GGA level of DFT.

Density of states at the Fermi level in states/eV/f.u.: 2.6
Density in kg/m³: 6971
Energy above the lowest structure with this stoichiometry in meV per atom: 0

Cell lengths 4.569, 8.054, 8.054 Å; angles 120.00, 90.00, 90.00 degrees
Sites, in units of the cell vectors:
Ac  0.500  0.000  0.582
Ac  0.500  0.582  0.000
Ac  0.500  0.418  0.418
Mg  0.000  0.000  0.231
Mg  0.000  0.769  0.769
Mg  0.000  0.231  0.000
Ag  0.500  0.000  0.000
Ag  0.000  0.333  0.667
Ag  0.000  0.667  0.333

---

Computed, not measured: Si2PbBrN after structural relaxation at the PBE-GGA level of DFT.

Formation energy (no corrections) in kJ per mole of atoms: 155
Density of states at the Fermi level in states/eV/f.u.: 3.0
Density in kg/m³: 5011

Cell lengths 5.075, 4.597, 5.075 Å; angles 90.00, 90.00, 90.00 degrees
Sites, in units of the cell vectors:
Br  0.000  0.000  0.000
Si  0.500  0.000  0.000
Si  0.000  0.000  0.500
Pb  0.500  0.500  0.500
N  0.000  0.500  0.000

---

Computed, not measured: Li2CaPdAu4 after structural relaxation at the PBE-GGA level of DFT.

Density of states at the Fermi level in states/eV/f.u.: 2.1
VASP energy in eV/atom: -3.514
Density in kg/m³: 10502

Cell lengths 4.526, 4.526, 8.846 Å; angles 75.18, 75.18, 60.00 degrees
Sites, in units of the cell vectors:
Pd  0.500  0.500  0.500
Au  0.878  0.878  0.366
Au  0.122  0.122  0.634
Au  0.607  0.607  0.178
Au  0.393  0.393  0.822
Li  0.768  0.768  0.697
Li  0.232  0.232  0.303
Ca  0.000  0.000  0.000

---

Computed, not measured: Nd3CoCu2 after structural relaxation at the PBE-GGA level of DFT.

Density of states at the Fermi level in states/eV/f.u.: 6.2
VASP energy in eV/atom: -5.056
Density in kg/m³: 7300

Cell lengths 4.084, 11.846, 11.637 Å; angles 90.00, 90.00, 90.00 degrees
Sites, in units of the cell vectors:
Cu  0.750  0.312  0.516
Cu  0.750  0.513  0.198
Cu  0.750  0.188  0.016
Cu  0.250  0.812  0.984
Cu  0.250  0.013  0.302
Cu  0.750  0.987  0.698
Cu  0.250  0.688  0.484
Cu  0.250  0.487  0.802
Nd  0.250  0.051  0.879
Nd  0.750  0.551  0.621
Nd  0.250  0.792  0.727
Nd  0.750  0.624  0.952
Nd  0.250  0.708  0.227
Nd  0.750  0.292  0.773
Nd  0.750  0.876  0.452
Nd  0.250  0.449  0.379
Nd  0.250  0.124  0.548
Nd  0.750  0.208  0.273
Nd  0.750  0.949  0.121
Nd  0.250  0.376  0.048
Co  0.250  0.136  0.120
Co  0.750  0.636  0.380
Co  0.750  0.864  0.880
Co  0.250  0.364  0.620

---

Computed, not measured: BaMgInSn2 after structural relaxation at the PBE-GGA level of DFT.

Density of states at the Fermi level in states/eV/f.u.: 2.0
VASP energy in eV/atom: -3.265
Density in kg/m³: 5521

Cell lengths 4.810, 4.810, 7.497 Å; angles 108.71, 108.71, 90.00 degrees
Sites, in units of the cell vectors:
Ba  0.000  0.000  0.000
Sn  0.614  0.614  0.229
Sn  0.386  0.386  0.771
In  0.750  0.250  0.500
Mg  0.250  0.750  0.500

---

Computed, not measured: AcLa6Pr2 after structural relaxation at the PBE-GGA level of DFT.

Density of states at the Fermi level in states/eV/f.u.: 17.2
Density in kg/m³: 6606
Energy above the lowest structure with this stoichiometry in meV per atom: 0

Cell lengths 5.856, 7.709, 7.709 Å; angles 75.84, 90.00, 90.00 degrees
Sites, in units of the cell vectors:
La  0.000  0.194  0.514
La  0.000  0.806  0.486
La  0.500  0.294  0.706
La  0.000  0.514  0.194
La  0.000  0.486  0.806
La  0.500  0.706  0.294
Pr  0.500  0.789  0.789
Pr  0.500  0.211  0.211
Ac  0.000  0.000  0.000

---

Computed, not measured: MgZr3Re after structural relaxation at the PBE-GGA level of DFT.

Density of states at the Fermi level in states/eV/f.u.: 5.6
Density in kg/m³: 6902
Energy above the lowest structure with this stoichiometry in meV per atom: 1179

Cell lengths 4.884, 4.884, 4.884 Å; angles 90.00, 90.00, 90.00 degrees
Sites, in units of the cell vectors:
Mg  0.000  0.000  0.000
Zr  0.500  0.000  0.000
Zr  0.000  0.500  0.000
Zr  0.000  0.000  0.500
Re  0.500  0.500  0.500

---

Computed, not measured: Np2TiO11 after structural relaxation at the PBE-GGA level of DFT.

Formation energy (no corrections) in kJ per mole of atoms: -183
Density of states at the Fermi level in states/eV/f.u.: 2.6
Density in kg/m³: 5178

Cell lengths 8.418, 8.418, 8.418 Å; angles 119.86, 105.24, 103.85 degrees
Sites, in units of the cell vectors:
O  0.742  0.027  0.496
O  0.031  0.527  0.284
O  0.469  0.882  0.097
O  0.258  0.973  0.504
O  0.969  0.872  0.587
O  0.758  0.254  0.284
O  0.285  0.382  0.413
O  0.000  0.000  0.000
O  0.344  0.446  0.790
O  0.215  0.628  0.097
O  0.242  0.746  0.716
O  0.656  0.554  0.210
O  0.500  0.500  0.000
O  0.785  0.372  0.903
O  0.969  0.473  0.716
O  0.531  0.118  0.903
O  0.031  0.128  0.413
O  0.156  0.946  0.102
O  0.715  0.618  0.587
O  0.531  0.246  0.504
O  0.844  0.054  0.898
O  0.469  0.754  0.496
Np  0.731  0.813  0.544
Np  0.269  0.187  0.456
Np  0.231  0.687  0.918
Np  0.769  0.313  0.082
Ti  0.750  0.250  0.500
Ti  0.250  0.750  0.500

---

Computed, not measured: CuAgCl2 after structural relaxation at the PBE-GGA level of DFT.

Formation energy (no corrections) in kJ per mole of atoms: 22
Density of states at the Fermi level in states/eV/f.u.: 3.6
Density in kg/m³: 5356

Cell lengths 4.736, 4.736, 4.736 Å; angles 60.00, 60.00, 60.00 degrees
Sites, in units of the cell vectors:
Cl  0.250  0.250  0.250
Cl  0.000  0.000  0.000
Cu  0.750  0.750  0.750
Ag  0.500  0.500  0.500

---

Computed, not measured: SrLiAg3 after structural relaxation at the PBE-GGA level of DFT.

Density of states at the Fermi level in states/eV/f.u.: 0.2
Density in kg/m³: 3323
Energy above the lowest structure with this stoichiometry in meV per atom: 870

Cell lengths 5.934, 5.934, 5.934 Å; angles 90.00, 90.00, 90.00 degrees
Sites, in units of the cell vectors:
Ag  0.000  0.000  0.500
Ag  0.000  0.500  0.000
Ag  0.500  0.000  0.000
Sr  0.000  0.000  0.000
Li  0.500  0.500  0.500

---

Computed, not measured: SrCaPt2 after structural relaxation at the PBE-GGA level of DFT.

Density of states at the Fermi level in states/eV/f.u.: 0.8
Density in kg/m³: 8942
Energy above the lowest structure with this stoichiometry in meV per atom: 329

Cell lengths 7.882, 7.882, 6.375 Å; angles 51.82, 51.82, 90.00 degrees
Sites, in units of the cell vectors:
Sr  0.750  0.250  0.500
Sr  0.000  0.000  0.000
Ca  0.500  0.500  0.000
Ca  0.250  0.750  0.500
Pt  0.875  0.864  0.750
Pt  0.375  0.386  0.750
Pt  0.136  0.625  0.250
Pt  0.614  0.125  0.250

---

Computed, not measured: Y4Ir2Pb after structural relaxation at the PBE-GGA level of DFT.

Density of states at the Fermi level in states/eV/f.u.: 5.5
VASP energy in eV/atom: -7.252
Density in kg/m³: 7858

Cell lengths 8.037, 8.037, 8.048 Å; angles 109.53, 109.53, 109.30 degrees
Sites, in units of the cell vectors:
Ir  0.625  0.375  0.750
Ir  0.125  0.375  0.750
Ir  0.625  0.375  0.250
Ir  0.625  0.875  0.250
Y  0.409  0.090  0.319
Y  0.770  0.089  0.681
Y  0.910  0.591  0.680
Y  0.480  0.661  0.820
Y  0.339  0.520  0.181
Y  0.340  0.159  0.819
Y  0.841  0.660  0.180
Y  0.911  0.230  0.320
Pb  0.000  0.000  0.000
Pb  0.250  0.750  0.500

---

What did the eighth record say?
Computed, not measured: Np2TiO11 after structural relaxation at the PBE-GGA level of DFT.

Formation energy (no corrections) in kJ per mole of atoms: -183
Density of states at the Fermi level in states/eV/f.u.: 2.6
Density in kg/m³: 5178

Cell lengths 8.418, 8.418, 8.418 Å; angles 119.86, 105.24, 103.85 degrees
Sites, in units of the cell vectors:
O  0.742  0.027  0.496
O  0.031  0.527  0.284
O  0.469  0.882  0.097
O  0.258  0.973  0.504
O  0.969  0.872  0.587
O  0.758  0.254  0.284
O  0.285  0.382  0.413
O  0.000  0.000  0.000
O  0.344  0.446  0.790
O  0.215  0.628  0.097
O  0.242  0.746  0.716
O  0.656  0.554  0.210
O  0.500  0.500  0.000
O  0.785  0.372  0.903
O  0.969  0.473  0.716
O  0.531  0.118  0.903
O  0.031  0.128  0.413
O  0.156  0.946  0.102
O  0.715  0.618  0.587
O  0.531  0.246  0.504
O  0.844  0.054  0.898
O  0.469  0.754  0.496
Np  0.731  0.813  0.544
Np  0.269  0.187  0.456
Np  0.231  0.687  0.918
Np  0.769  0.313  0.082
Ti  0.750  0.250  0.500
Ti  0.250  0.750  0.500